1.
LiScSi2 | meta-GGA SCAN | PBEsol geometry

Cell lengths 3.898, 3.898, 3.939 Å; angles 90.00, 90.00, 90.00 degrees
Fractional coordinates of all 4 atoms:
Sc (0.000, 0.000, 0.500)
Si (0.000, 0.500, 0.000)
Si (0.500, 0.000, 0.000)
Li (0.500, 0.500, 0.500)

Final energy: -0.7040 Ry/atom
Energy relative to the elements, uncorrected: -413.6 meV/atom



2.
LiSc2Si | meta-GGA SCAN | PBEsol geometry

Cell lengths 3.109, 4.531, 5.994 Å; angles 97.55, 90.00, 110.07 degrees
Fractional coordinates of all 4 atoms:
Li (0.500, 0.000, 0.000)
Sc (0.735, 0.469, 0.720)
Sc (0.265, 0.531, 0.280)
Si (0.000, 0.000, 0.500)

Final energy: -0.7619 Ry/atom
Energy relative to the elements, uncorrected: -146.3 meV/atom



3.
LiSc2Si | meta-GGA SCAN | PBEsol geometry

Cell lengths 3.057, 3.057, 10.633 Å; angles 81.74, 81.74, 60.00 degrees
Fractional coordinates of all 4 atoms:
Sc (0.916, 0.916, 0.253)
Sc (0.084, 0.084, 0.747)
Si (0.000, 0.000, 0.000)
Li (0.500, 0.500, 0.500)

Final energy: -0.7202 Ry/atom
Energy relative to the elements, uncorrected: 420.7 meV/atom